--- a ---
Computed, not measured: crystalline Mg2ZnBr at its relaxed geometry at the GGA-PBE level of DFT.

Calculated values
The calculation puts the density of states at the Fermi level at 1.75 states/eV/cell.

Cell: 5.3519 3.2785 5.3426 Å, 89.95 90.00 90.00°
Last column: nearest neighbours and their distance in Å.
Fractional positions:
Br: 0.5000 0.9071 0.8757  4 Mg 2.71
Mg: 0.0000 0.0376 0.8737  2 Br 2.71
Mg: 0.5000 0.0425 0.3756  2 Br 2.71
Zn: 0.0000 0.5127 0.3750  8 Mg 3.08-3.19, 2 Zn 3.28



--- b ---
Computed, not measured: crystalline Mg2ZnBr at its relaxed geometry at the GGA-PBE level of DFT.

Calculated values
The calculation puts the density of states at the Fermi level at 0.82 states/eV/cell.

Cell: 3.3120 3.3120 7.8459 Å, 90.00 90.00 89.99°
Last column: nearest neighbours and their distance in Å.
Fractional positions:
Br: 0.5000 0.5000 0.7500  8 Mg 3.19, 4 Br 3.31
Mg: 0.0000 0.0000 0.0259  4 Zn 2.93, 4 Br 3.19
Mg: 0.0000 0.0000 0.4741  4 Zn 2.93, 4 Br 3.19
Zn: 0.5000 0.5000 0.2500  8 Mg 2.93



--- c ---
Computed, not measured: crystalline Mg2ZnBr at its relaxed geometry at the GGA-PBE level of DFT.

Calculated values
The calculation puts the density of states at the Fermi level at 1.56 states/eV/cell.

Cell: 5.1631 5.1631 3.4143 Å, 90.00 90.00 103.88°
Last column: nearest neighbours and their distance in Å.
Fractional positions:
Br: 0.0000 0.5000 0.5000  8 Mg 3.09, 2 Zn 3.18, 2 Br 3.41
Mg: 0.0000 0.0000 0.0000  4 Br 3.09, 4 Zn 3.09, 4 Mg 3.18-3.41
Mg: 0.5000 0.5000 0.0000  4 Zn 3.09, 4 Br 3.09, 4 Mg 3.18-3.41
Zn: 0.5000 0.0000 0.5000  8 Mg 3.09, 2 Br 3.18, 2 Zn 3.41



Verdict on stability: c comes out at the bottom.



--- a ---
Computed, not measured: crystalline Mg2ZnBr at its relaxed geometry at the GGA-PBE level of DFT.

Calculated values
The calculation puts the density of states at the Fermi level at 3.09 states/eV/cell.

Cell: 5.2639 5.2639 5.2639 Å, 60.00 60.00 60.00°
Last column: nearest neighbours and their distance in Å.
Fractional positions:
Br: 0.5000 0.5000 0.5000  4 Mg 3.22, 4 Zn 3.22
Mg: 0.0000 0.0000 0.0000  4 Mg 3.22, 4 Zn 3.22
Mg: 0.2500 0.2500 0.2500  4 Br 3.22, 4 Mg 3.22
Zn: 0.7500 0.7500 0.7500  4 Br 3.22, 4 Mg 3.22



--- b ---
Computed, not measured: crystalline Mg2ZnBr at its relaxed geometry at the GGA-PBE level of DFT.

Calculated values
The calculation puts the density of states at the Fermi level at 1.74 states/eV/cell.

Cell: 5.4679 5.4679 5.4679 Å, 130.65 130.65 72.37°
Last column: nearest neighbours and their distance in Å.
Fractional positions:
Br: 0.7500 0.2500 0.5000  8 Mg 3.17, 4 Zn 3.23
Mg: 0.0000 0.0000 0.0000  4 Br 3.17, 4 Zn 3.17, 4 Mg 3.23
Mg: 0.5000 0.5000 0.0000  4 Br 3.17, 4 Zn 3.17, 4 Mg 3.23
Zn: 0.2500 0.7500 0.5000  8 Mg 3.17, 4 Br 3.23



Verdict on stability: a comes out at the bottom.



--- a ---
Computed, not measured: crystalline MgZn3Br at its relaxed geometry at the GGA-PBE level of DFT.

Calculated values
The calculation puts the density of states at the Fermi level at 1.33 states/eV/cell.

Cell: 5.2949 5.2949 5.2949 Å, 90.00 90.00 90.00°
Last column: nearest neighbours and their distance in Å.
Fractional positions:
Zn: 0.0000 0.5000 0.0000  2 Mg 2.65
Zn: 0.0000 0.0000 0.5000  2 Mg 2.65
Zn: 0.5000 0.0000 0.0000  2 Mg 2.65
Mg: 0.0000 0.0000 0.0000  6 Zn 2.65
Br: 0.5000 0.5000 0.5000  12 Zn 3.74



--- b ---
Computed, not measured: crystalline MgZn3Br at its relaxed geometry at the GGA-PBE level of DFT.

Calculated values
The calculation puts the density of states at the Fermi level at 3.57 states/eV/cell.

Cell: 5.3228 5.3228 5.3228 Å, 90.00 90.00 90.00°
Last column: nearest neighbours and their distance in Å.
Fractional positions:
Zn: 0.0000 0.5000 0.0000  2 Br 2.66
Zn: 0.0000 0.0000 0.5000  2 Br 2.66
Zn: 0.5000 0.0000 0.0000  2 Br 2.66
Mg: 0.5000 0.5000 0.5000  12 Zn 3.76
Br: 0.0000 0.0000 0.0000  6 Zn 2.66



Verdict on stability: b comes out at the bottom.